Entry 1:
Here is an optimized crystal structure of Sr6Te3AsCl2 from Alexandria. Energies are from PBE.

Cell and atoms, written as POSCAR:
```
Sr6Te3AsCl2
1.0
-7.1566 -3.0734 1.6600
6.5372 -3.1279 3.3015
-0.4702 6.7288 4.1454
Sr Te As Cl
6 3 1 2
Cartesian
-3.0049 0.4154 6.6725 Sr
-0.5888 -3.0971 4.8089 Sr
1.9153 0.1122 2.4344 Sr
1.3459 0.3981 7.1940 Sr
-0.5008 3.6246 4.2980 Sr
-2.4355 0.1295 1.9129 Sr
3.9258 0.2460 5.0894 Te
-5.0154 0.2815 4.0175 Te
-0.5448 0.2638 4.5534 Te
0.0000 0.0000 0.0000 As
1.9456 -3.1096 2.7511 Cl
-2.5650 -3.0917 2.2104 Cl
```

Computed properties:
The total energy is -4.023 eV/atom. The density of states at the Fermi level is 0.337 states/eV per atom. As for the space-group type: C2/m. For the uncorrected formation energy, the calculation gives -1.702 eV/atom.

***

Entry 2:
Here is an optimized crystal structure of ReHgBr2 from Alexandria. Energies are from PBE.

Cell and atoms, written as POSCAR:
```
ReHgBr2
1.0
3.3142 0.0000 0.0000
0.0000 6.0191 0.0000
0.0000 0.0000 4.6536
Re Hg Br
1 1 2
Cartesian
0.0000 3.0096 2.3268 Re
1.6571 0.0000 2.3268 Hg
0.0000 0.0000 0.0000 Br
1.6571 3.0096 0.0000 Br
```

Computed properties:
The total energy is -2.912 eV/atom. The density of states at the Fermi level is 0.479 states/eV per atom. As for the space-group type: Pmmm. For the uncorrected formation energy, the calculation gives 1.112 eV/atom.